## Rb4PaCl10 (PBE)

Data for a geometry-optimized Rb4PaCl10 structure.

Lattice parameters (Å, degrees): 9.2941 9.2941 9.2941 98.47 98.47 134.86
With the nearest neighbours (Å) after each atom.
Element x y z (fractional)
Rb1 0.1048 0.3003 0.4051  8 Cl 3.27-3.51
Rb2 0.3003 0.8952 0.1956  8 Cl 3.27-3.51
Rb3 0.6997 0.1048 0.8044  8 Cl 3.27-3.51
Rb4 0.8952 0.6997 0.5949  8 Cl 3.27-3.51
Pa1 0.5000 0.5000 0.0000  8 Cl 2.73
Cl1 0.1173 0.1972 0.7520  1 Pa 2.73
Cl2 0.1972 0.4452 0.0799  1 Pa 2.73
Cl3 0.2500 0.7500 0.5000  4 Rb 3.27, 2 Cl 3.57
Cl4 0.3653 0.1173 0.9201  1 Pa 2.73
Cl5 0.4452 0.3653 0.2480  1 Pa 2.73
Cl6 0.5548 0.6347 0.7520  1 Pa 2.73
Cl7 0.6347 0.8827 0.0799  1 Pa 2.73
Cl8 0.7500 0.2500 0.5000  4 Rb 3.27, 2 Cl 3.57
Cl9 0.8028 0.5548 0.9201  1 Pa 2.73
Cl10 0.8827 0.8028 0.2480  1 Pa 2.73

The value obtained for the theoretical density is 2.93 g/cm³. Its symmetry is I4/m. For the magnetization, the calculation gives 0.6 μB per formula unit.


## K3DyCl6 (PBE)

Data for a geometry-optimized K3DyCl6 structure.

Lattice parameters (Å, degrees): 7.5287 7.9697 13.0530 90.00 124.22 90.00
With the nearest neighbours (Å) after each atom.
Element x y z (fractional)
K1 0.0000 0.0000 0.0000  6 Cl 3.09-3.18
K2 0.0000 0.5000 0.5000  6 Cl 3.09-3.18
K3 0.2142 0.0722 0.7425  6 Cl 3.17-3.48
K4 0.2142 0.4278 0.2425  6 Cl 3.17-3.48
K5 0.7858 0.5722 0.7575  6 Cl 3.17-3.48
K6 0.7858 0.9278 0.2575  6 Cl 3.17-3.48
Dy1 0.5000 0.0000 0.5000  6 Cl 2.65-2.67
Dy2 0.5000 0.5000 0.0000  6 Cl 2.65-2.67
Cl1 0.1606 0.1802 0.4431  1 Dy 2.65
Cl2 0.1606 0.3198 0.9431  1 Dy 2.65
Cl3 0.2549 0.7254 0.4230  1 Dy 2.67
Cl4 0.2549 0.7746 0.9230  1 Dy 2.67
Cl5 0.4027 0.0564 0.2733  1 Dy 2.66
Cl6 0.4027 0.4436 0.7733  1 Dy 2.66
Cl7 0.5973 0.5564 0.2267  1 Dy 2.66
Cl8 0.5973 0.9436 0.7267  1 Dy 2.66
Cl9 0.7451 0.2254 0.0770  1 Dy 2.67
Cl10 0.7451 0.2746 0.5770  1 Dy 2.67
Cl11 0.8394 0.6802 0.0569  1 Dy 2.65
Cl12 0.8394 0.8198 0.5569  1 Dy 2.65

The value obtained for the theoretical density is 2.53 g/cm³. Its symmetry is P2_1/c. For the magnetization, the calculation gives 0.0 μB per formula unit.


Listing formation energy from raw total energies for the structures above in their given order: -25.8; -21.4 eV/f.u..